# SmHoZnHg

SmHoZnHg after structural relaxation (PBE, Alexandria via LeMat-Bulk).

Unit cell a=5.2126 b=5.2126 c=5.2126 alpha=60.00 beta=60.00 gamma=60.00
Closest atoms and distances in Å follow each position.
Element x y z (fractional)
Sm 0.0000 0.0000 0.0000  4 Hg 3.19, 4 Zn 3.19
Ho 0.5000 0.5000 0.5000  4 Hg 3.19, 4 Zn 3.19
Zn 0.2500 0.2500 0.2500  4 Ho 3.19, 4 Sm 3.19
Hg 0.7500 0.7500 0.7500  4 Ho 3.19, 4 Sm 3.19

E_tot = -3.1009 eV per atom
symmetry = F-43m
DFT formation energy = -0.3828 eV per atom
calculated density = 9.64 g cm⁻³
ΔE to the lowest computed polymorph = 24.3 meV per atom
D(E_F) = 1.0535 states/eV per atom
spin magnetization = 0.563 μB/cell

---

# LiBe2AsRu

LiBe2AsRu after structural relaxation (PBE, Alexandria via LeMat-Bulk).

Unit cell a=4.2111 b=4.2111 c=4.6002 alpha=90.00 beta=90.00 gamma=90.00
Closest atoms and distances in Å follow each position.
Element x y z (fractional)
Li 0.0000 0.0000 0.0000  4 Ru 2.98, 8 Be 3.12
Be 0.0000 0.5000 0.5000  2 As 2.11
Be 0.5000 0.0000 0.5000  2 As 2.11
As 0.5000 0.5000 0.5000  4 Be 2.11, 2 Ru 2.30
Ru 0.5000 0.5000 0.0000  2 As 2.30

E_tot = -3.9663 eV per atom
symmetry = P4/mmm
DFT formation energy = 0.6921 eV per atom
calculated density = 4.09 g cm⁻³
D(E_F) = 0.5528 states/eV per atom
spin magnetization = 0.000 μB/cell

---

# NaMg4P3O12

NaMg4P3O12 after structural relaxation (PBE, Alexandria via LeMat-Bulk).

Unit cell a=9.9071 b=6.3822 c=15.6022 alpha=90.00 beta=90.00 gamma=90.00
Closest atoms and distances in Å follow each position.
Element x y z (fractional)
Na 0.2500 0.2500 0.2110  6 O 2.54-2.70
Na 0.2500 0.7500 0.7110  6 O 2.54-2.70
Na 0.7500 0.2500 0.2890  6 O 2.54-2.70
Na 0.7500 0.7500 0.7890  6 O 2.54-2.70
Mg 0.0464 0.2500 0.6301  4 O 1.98-2.13
Mg 0.0663 0.7500 0.1284  5 O 1.99-2.19
Mg 0.2473 0.0003 0.9442  5 O 1.99-2.15
Mg 0.2473 0.4997 0.9442  5 O 1.99-2.15
Mg 0.2527 0.9997 0.4442  5 O 1.99-2.15
Mg 0.2527 0.5003 0.4442  5 O 1.99-2.15
Mg 0.4337 0.2500 0.6284  5 O 1.99-2.19
Mg 0.4536 0.7500 0.1301  4 O 1.98-2.13
Mg 0.5464 0.2500 0.8699  4 O 1.98-2.13
Mg 0.5663 0.7500 0.3716  5 O 1.99-2.19
Mg 0.7473 0.0003 0.5558  5 O 1.99-2.15
Mg 0.7473 0.4997 0.5558  5 O 1.99-2.15
Mg 0.7527 0.9997 0.0558  5 O 1.99-2.15
Mg 0.7527 0.5003 0.0558  5 O 1.99-2.15
Mg 0.9337 0.2500 0.8716  5 O 1.99-2.19
Mg 0.9536 0.7500 0.3699  4 O 1.98-2.13
P 0.0310 0.7500 0.5606  4 O 1.52-1.60
P 0.0443 0.2500 0.0557  4 O 1.52-1.60
P 0.2053 0.2500 0.7725  4 O 1.54-1.57
P 0.2947 0.7500 0.2725  4 O 1.54-1.57
P 0.4557 0.7500 0.5557  4 O 1.52-1.60
P 0.4690 0.2500 0.0606  4 O 1.52-1.60
P 0.5310 0.7500 0.9394  4 O 1.52-1.60
P 0.5443 0.2500 0.4443  4 O 1.52-1.60
P 0.7053 0.2500 0.7275  4 O 1.54-1.57
P 0.7947 0.7500 0.2275  4 O 1.54-1.57
P 0.9557 0.7500 0.9443  4 O 1.52-1.60
P 0.9690 0.2500 0.4394  4 O 1.52-1.60
O 0.0470 0.2500 0.7659  1 P 1.57
O 0.0671 0.5546 0.6112  1 P 1.52
O 0.0671 0.9454 0.6112  1 P 1.52
O 0.0966 0.0538 0.1004  1 P 1.52
O 0.0966 0.4462 0.1004  1 P 1.52
O 0.1048 0.2500 0.9608  1 P 1.60
O 0.1134 0.7500 0.4722  1 P 1.60
O 0.1133 0.7500 0.9544  1 P 1.57
O 0.1228 0.2500 0.4663  1 P 1.58
O 0.2440 0.5495 0.3186  1 P 1.55
O 0.2440 0.9505 0.3186  1 P 1.55
O 0.2480 0.2500 0.6774  1 P 1.54
O 0.2520 0.7500 0.1774  1 P 1.54
O 0.2560 0.0495 0.8186  1 P 1.55
O 0.2560 0.4505 0.8186  1 P 1.55
O 0.3772 0.7500 0.9663  1 P 1.58
O 0.3867 0.2500 0.4544  1 P 1.57
O 0.3866 0.2500 0.9722  1 P 1.60
O 0.3952 0.7500 0.4608  1 P 1.60
O 0.4034 0.5538 0.6004  1 P 1.52
O 0.4034 0.9462 0.6004  1 P 1.52
O 0.4329 0.0546 0.1112  1 P 1.52
O 0.4329 0.4454 0.1112  1 P 1.52
O 0.4530 0.7500 0.2659  1 P 1.57
O 0.5470 0.2500 0.7341  1 P 1.57
O 0.5671 0.5546 0.8888  1 P 1.52
O 0.5671 0.9454 0.8888  1 P 1.52
O 0.5966 0.0538 0.3996  1 P 1.52
O 0.5966 0.4462 0.3996  1 P 1.52
O 0.6048 0.2500 0.5392  1 P 1.60
O 0.6134 0.7500 0.0278  1 P 1.60
O 0.6133 0.7500 0.5456  1 P 1.57
O 0.6228 0.2500 0.0337  1 P 1.58
O 0.7440 0.5495 0.1814  1 P 1.55
O 0.7440 0.9505 0.1814  1 P 1.55
O 0.7480 0.2500 0.8226  1 P 1.54
O 0.7520 0.7500 0.3226  1 P 1.54
O 0.7560 0.0495 0.6814  1 P 1.55
O 0.7560 0.4505 0.6814  1 P 1.55
O 0.8772 0.7500 0.5337  1 P 1.58
O 0.8867 0.2500 0.0456  1 P 1.57
O 0.8866 0.2500 0.5278  1 P 1.60
O 0.8952 0.7500 0.0392  1 P 1.60
O 0.9034 0.5538 0.8996  1 P 1.52
O 0.9034 0.9462 0.8996  1 P 1.52
O 0.9329 0.0546 0.3888  1 P 1.52
O 0.9329 0.4454 0.3888  1 P 1.52
O 0.9530 0.7500 0.2341  1 P 1.57

E_tot = -6.7411 eV per atom
symmetry = Pnma
calculated density = 2.73 g cm⁻³
D(E_F) = 0.0000 states/eV per atom
formation energy (no corrections) = -2.57 eV/atom
spin magnetization = 0.005 μB/cell